A plane-wave DFT calculation with PBE was carried out for crystalline Li2MgHPd at its relaxed geometry.

- Theoretical density: 3.8 g cm⁻³
- M_tot: 0.000 μB/atom
- Energy above the lowest structure with this stoichiometry: 1.66 kJ/mol of atoms

Lattice parameters (Å, degrees): 4.061 4.061 3.897 90.00 90.00 90.00
Space group P4/mmm (No. 123)
Asymmetric unit:
Li 0.000 0.500 0.000 [2 per cell]
Mg 0.000 0.000 0.500 [1 per cell]
H 0.500 0.500 0.000 [1 per cell]
Pd 0.500 0.500 0.500 [1 per cell]